1.
Density functional theory data (PBE) for a relaxed Sr2Pm3S6 crystal.

Energy relative to the elements, uncorrected: -22.9 eV per formula unit
DFT total energy: -5.93 eV/atom

a = 7.0907 Å, b = 7.0907 Å, c = 7.3212 Å
α = 99.23°, β = 99.23°, γ = 119.92°
Last column: nearest neighbours and their distance in Å.
Fractional coordinates of all 11 atoms:
Sr 0.1676 0.8324 0.0000  6 S 3.00
Sr 0.8324 0.1676 0.0000  6 S 3.00
Pm 0.0000 0.0000 0.5000  6 S 2.83-2.86
Pm 0.3366 0.6634 0.5000  6 S 2.84-2.87
Pm 0.6634 0.3366 0.5000  6 S 2.84-2.87
S 0.0692 0.4090 0.7283  3 Pm 2.84-2.87, 2 Sr 3.00
S 0.2501 0.2501 0.2676  3 Pm 2.83-2.85, 2 Sr 3.00
S 0.4090 0.0692 0.7283  3 Pm 2.84-2.87, 2 Sr 3.00
S 0.5910 0.9308 0.2717  3 Pm 2.84-2.87, 2 Sr 3.00
S 0.7499 0.7499 0.7324  3 Pm 2.83-2.85, 2 Sr 3.00
S 0.9308 0.5910 0.2717  3 Pm 2.84-2.87, 2 Sr 3.00



2.
Density functional theory data (PBE) for a relaxed TbDyHo2 crystal.

DFT total energy: -4.59 eV/atom
Energy above the lowest structure with this stoichiometry: 0.00 eV/f.u.
Energy of formation: 5.8 meV per atom

a = 5.5979 Å, b = 7.2288 Å, c = 6.2504 Å
α = 90.00°, β = 90.00°, γ = 90.00°
Last column: nearest neighbours and their distance in Å.
Fractional coordinates of all 8 atoms:
Tb 0.2500 0.2500 0.1670  8 Ho 3.49-3.61, 4 Dy 3.49-3.61
Tb 0.7500 0.7500 0.8330  8 Ho 3.49-3.61, 4 Dy 3.49-3.61
Dy 0.2500 0.7500 0.1673  8 Ho 3.49-3.62, 4 Tb 3.49-3.61
Dy 0.7500 0.2500 0.8327  8 Ho 3.49-3.62, 4 Tb 3.49-3.61
Ho 0.2500 0.0002 0.6662  4 Ho 3.49-3.62, 4 Dy 3.49-3.62, 4 Tb 3.49-3.61
Ho 0.2500 0.4998 0.6662  4 Ho 3.49-3.62, 4 Dy 3.49-3.62, 4 Tb 3.49-3.61
Ho 0.7500 0.9998 0.3338  4 Ho 3.49-3.62, 4 Dy 3.49-3.62, 4 Tb 3.49-3.61
Ho 0.7500 0.5002 0.3338  4 Ho 3.49-3.62, 4 Dy 3.49-3.62, 4 Tb 3.49-3.61



3.
Density functional theory data (PBE) for a relaxed MoRu3W crystal.

DFT total energy: -8.42 eV/atom
Energy above the lowest structure with this stoichiometry: 0.00 eV/f.u.
Energy of formation: 1905.0 meV per atom

a = 4.6029 Å, b = 4.6029 Å, c = 4.6029 Å
α = 90.00°, β = 90.00°, γ = 90.00°
Last column: nearest neighbours and their distance in Å.
Fractional coordinates of all 5 atoms:
Mo 0.0000 0.0000 0.0000  12 Ru 3.25
Ru 0.0000 0.5000 0.5000  2 W 2.30
Ru 0.5000 0.0000 0.5000  2 W 2.30
Ru 0.5000 0.5000 0.0000  2 W 2.30
W 0.5000 0.5000 0.5000  6 Ru 2.30